# 1
Below is a relaxed La2TbPm crystal, with properties calculated at the PBE level.

As for the calculated volume: 35.51 A^3/atom. Its symmetry is Fm-3m, No. 225. The calculation puts the total energy at -4.70 eV per atom. The calculation puts the formation energy at 0.106 eV per atom.

Lattice parameters (Å, degrees): 8.283 8.283 8.283 90.00 90.00 90.00
Fractional positions:
1 La 0.250 0.250 0.250
2 La 0.250 0.250 0.750
3 La 0.250 0.750 0.250
4 La 0.250 0.750 0.750
5 La 0.750 0.250 0.250
6 La 0.750 0.250 0.750
7 La 0.750 0.750 0.250
8 La 0.750 0.750 0.750
9 Tb 0.000 0.000 0.000
10 Tb 0.000 0.500 0.500
11 Tb 0.500 0.000 0.500
12 Tb 0.500 0.500 0.000
13 Pm 0.000 0.000 0.500
14 Pm 0.000 0.500 0.000
15 Pm 0.500 0.000 0.000
16 Pm 0.500 0.500 0.500

---

# 2
Below is a relaxed LaTb5Pm6 crystal, with properties calculated at the PBE level.

As for the calculated volume: 33.62 A^3/atom. Its symmetry is C2/m, No. 12. The calculation puts the total energy at -4.70 eV per atom. The calculation puts the formation energy at 0.018 eV per atom.

Lattice parameters (Å, degrees): 9.582 9.582 5.125 105.47 105.47 106.61
Fractional positions:
1 La 0.000 0.000 0.000
2 Tb 0.168 0.832 0.500
3 Tb 0.333 0.667 0.000
4 Tb 0.500 0.500 0.500
5 Tb 0.667 0.333 0.000
6 Tb 0.832 0.168 0.500
7 Pm 0.085 0.418 0.252
8 Pm 0.253 0.253 0.753
9 Pm 0.418 0.085 0.252
10 Pm 0.582 0.915 0.748
11 Pm 0.747 0.747 0.247
12 Pm 0.915 0.582 0.748

---

# 3
Below is a relaxed La9TbPm2 crystal, with properties calculated at the PBE level.

As for the calculated volume: 35.71 A^3/atom. Its symmetry is P4/mmm, No. 123. The calculation puts the total energy at -4.87 eV per atom. The calculation puts the formation energy at 0.006 eV per atom.

Lattice parameters (Å, degrees): 5.228 5.228 15.677 90.00 90.00 90.00
Fractional positions:
1 La 0.000 0.000 0.000
2 La 0.000 0.000 0.333
3 La 0.000 0.000 0.667
4 La 0.000 0.500 0.166
5 La 0.000 0.500 0.500
6 La 0.000 0.500 0.834
7 La 0.500 0.000 0.166
8 La 0.500 0.000 0.500
9 La 0.500 0.000 0.834
10 Tb 0.500 0.500 0.000
11 Pm 0.500 0.500 0.333
12 Pm 0.500 0.500 0.667

---

# 4
Below is a relaxed LaTbPm6 crystal, with properties calculated at the PBE level.

As for the calculated volume: 34.45 A^3/atom. Its symmetry is P4/mmm, No. 123. The calculation puts the total energy at -4.74 eV per atom. The calculation puts the formation energy at 0.018 eV per atom.

Lattice parameters (Å, degrees): 5.163 5.163 10.340 90.00 90.00 90.00
Fractional positions:
1 La 0.000 0.000 0.000
2 Tb 0.000 0.000 0.500
3 Pm 0.000 0.500 0.254
4 Pm 0.000 0.500 0.746
5 Pm 0.500 0.000 0.254
6 Pm 0.500 0.000 0.746
7 Pm 0.500 0.500 0.000
8 Pm 0.500 0.500 0.500

---

# 5
Below is a relaxed La2Tb8Pm crystal, with properties calculated at the PBE level.

As for the calculated volume: 33.15 A^3/atom. Its symmetry is C2/m, No. 12. The calculation puts the total energy at -4.67 eV per atom. The calculation puts the formation energy at 0.025 eV per atom.

Lattice parameters (Å, degrees): 9.528 9.528 8.067 104.77 104.77 31.08
Fractional positions:
1 La 0.227 0.227 0.137
2 La 0.773 0.773 0.863
3 Tb 0.044 0.044 0.227
4 Tb 0.135 0.135 0.677
5 Tb 0.319 0.319 0.593
6 Tb 0.411 0.411 0.046
7 Tb 0.589 0.589 0.954
8 Tb 0.681 0.681 0.407
9 Tb 0.865 0.865 0.323
10 Tb 0.956 0.956 0.773
11 Pm 0.500 0.500 0.500

---

# 6
Below is a relaxed La4Tb5Pm2 crystal, with properties calculated at the PBE level.

As for the calculated volume: 34.36 A^3/atom. Its symmetry is C2/m, No. 12. The calculation puts the total energy at -4.68 eV per atom. The calculation puts the formation energy at 0.080 eV per atom.

Lattice parameters (Å, degrees): 9.138 9.138 11.856 94.50 94.50 22.52
Fractional positions:
1 La 0.037 0.037 0.261
2 La 0.359 0.359 0.203
3 La 0.641 0.641 0.797
4 La 0.963 0.963 0.739
5 Tb 0.097 0.097 0.540
6 Tb 0.178 0.178 0.069
7 Tb 0.500 0.500 0.000
8 Tb 0.822 0.822 0.931
9 Tb 0.903 0.903 0.460
10 Pm 0.285 0.285 0.645
11 Pm 0.715 0.715 0.355

---

# 7
Below is a relaxed LaTb12Pm6 crystal, with properties calculated at the PBE level.

As for the calculated volume: 33.70 A^3/atom. Its symmetry is R-3, No. 148. The calculation puts the total energy at -4.54 eV per atom. The calculation puts the formation energy at 0.147 eV per atom.

Lattice parameters (Å, degrees): 8.621 8.621 8.621 88.86 88.86 88.86
Fractional positions:
1 La 0.000 0.000 0.000
2 Tb 0.013 0.356 0.207
3 Tb 0.207 0.013 0.356
4 Tb 0.226 0.563 0.459
5 Tb 0.356 0.207 0.013
6 Tb 0.437 0.541 0.774
7 Tb 0.459 0.226 0.563
8 Tb 0.541 0.774 0.437
9 Tb 0.563 0.459 0.226
10 Tb 0.644 0.793 0.987
11 Tb 0.774 0.437 0.541
12 Tb 0.793 0.987 0.644
13 Tb 0.987 0.644 0.793
14 Pm 0.091 0.259 0.688
15 Pm 0.259 0.688 0.091
16 Pm 0.312 0.909 0.741
17 Pm 0.688 0.091 0.259
18 Pm 0.741 0.312 0.909
19 Pm 0.909 0.741 0.312

---

# 8
Below is a relaxed La4TbPm7 crystal, with properties calculated at the PBE level.

As for the calculated volume: 35.31 A^3/atom. Its symmetry is P-1, No. 2. The calculation puts the total energy at -4.78 eV per atom. The calculation puts the formation energy at 0.021 eV per atom.

Lattice parameters (Å, degrees): 6.421 7.370 9.206 89.94 76.50 89.92
Fractional positions:
1 La 0.219 0.253 0.331
2 La 0.279 0.999 0.668
3 La 0.721 0.001 0.332
4 La 0.781 0.747 0.669
5 Tb 0.500 0.500 0.000
6 Pm 0.001 0.748 0.001
7 Pm 0.222 0.747 0.327
8 Pm 0.282 0.500 0.671
9 Pm 0.500 0.000 0.000
10 Pm 0.718 0.500 0.329
11 Pm 0.778 0.253 0.673
12 Pm 0.999 0.252 0.999

---

Among the records above, which one has the highest calculated volume? La9TbPm2

---

Look up the total energy of the second one. -4.70 eV per atom

---

calculated volume of number 7 (LaTb12Pm6)? 33.70 A^3/atom